## a
## Pr3Dy6Ho (PBE)

Data for a geometry-optimized Pr3Dy6Ho structure.

abc: 11.597 6.602 9.782
angles: 90.00 115.30 90.00
Space group C2/m (No. 12)
Inequivalent atoms, fractional coordinates:
Pr 0.000 0.000 0.000 [2 per cell]
Pr 0.071 0.000 0.700 [4 per cell]
Dy 0.135 0.500 0.921 [4 per cell]
Dy 0.186 0.255 0.314 [8 per cell]
Ho 0.000 0.500 0.500 [2 per cell]

Output
The total magnetic moment is 0.00 μB/f.u. As for the crystal system: monoclinic.

---

## b
## Pr3Dy6Ho (PBE)

Data for a geometry-optimized Pr3Dy6Ho structure.

abc: 10.989 18.973 6.380
angles: 90.00 90.00 90.00
Space group Cmc2_1 (No. 36)
Inequivalent atoms, fractional coordinates:
Pr 0.000 0.112 0.000 [4 per cell]
Pr 0.176 0.386 0.606 [8 per cell]
Dy 0.000 0.229 0.422 [4 per cell]
Dy 0.000 0.462 0.201 [4 per cell]
Dy 0.168 0.045 0.521 [8 per cell]
Dy 0.239 0.210 0.700 [8 per cell]
Ho 0.000 0.306 0.942 [4 per cell]

Output
The total magnetic moment is 0.00 μB/f.u. As for the crystal system: orthorhombic.

---

Most stable = b

---

## a
## Pr3DyHo3 (PBE)

Data for a geometry-optimized Pr3DyHo3 structure.

abc: 9.6772 9.6772 5.7953
angles: 90.00 90.00 120.00
Space group P6_3/m (No. 176)
Inequivalent atoms, fractional coordinates:
Pr 0.0500 0.8058 0.2500 [6 per cell]
Dy 0.3333 0.6667 0.2500 [2 per cell]
Ho 0.0954 0.6151 0.7500 [6 per cell]

Output
The total magnetic moment is 0.00 μB/f.u. As for the crystal system: hexagonal.

---

## b
## Pr3DyHo3 (PBE)

Data for a geometry-optimized Pr3DyHo3 structure.

abc: 8.7465 8.7465 21.8071
angles: 90.00 90.00 120.00
Space group R-3 (No. 148, hexagonal axes)
Inequivalent atoms, fractional coordinates:
Pr 0.0044 0.7623 0.0592 [18 per cell]
Dy 0.0000 0.0000 0.3504 [6 per cell]
Ho 0.0588 0.6076 0.8803 [18 per cell]

Output
The total magnetic moment is 0.00 μB/f.u. As for the crystal system: trigonal.

---

Most stable = a

---

## a
## PrDy3Ho3 (PBE)

Data for a geometry-optimized PrDy3Ho3 structure.

abc: 9.8601 9.8601 8.1772
angles: 90.00 90.00 120.00
Space group R3m (No. 160, hexagonal axes)
Inequivalent atoms, fractional coordinates:
Pr 0.0000 0.0000 0.0000 [3 per cell]
Dy 0.2151 0.4301 0.3711 [9 per cell]
Ho 0.1994 0.3988 0.9451 [9 per cell]

Output
The total magnetic moment is 0.00 μB/f.u. As for the crystal system: trigonal.

---

## b
## PrDy3Ho3 (PBE)

Data for a geometry-optimized PrDy3Ho3 structure.

abc: 8.6221 8.6221 21.7889
angles: 90.00 90.00 120.00
Space group R-3 (No. 148, hexagonal axes)
Inequivalent atoms, fractional coordinates:
Pr 0.0000 0.0000 0.1497 [6 per cell]
Dy 0.0046 0.2320 0.5596 [18 per cell]
Ho 0.0581 0.4500 0.3791 [18 per cell]

Output
The total magnetic moment is 0.00 μB/f.u. As for the crystal system: trigonal.

---

Most stable = b

---

## a
## Pr6Dy3Ho2 (PBE)

Data for a geometry-optimized Pr6Dy3Ho2 structure.

abc: 6.166 6.815 9.917
angles: 89.08 88.82 64.69
Space group P-1 (No. 2)
Inequivalent atoms, fractional coordinates:
Pr 0.096 0.391 0.319 [2 per cell]
Pr 0.210 0.227 0.953 [2 per cell]
Pr 0.250 0.850 0.226 [2 per cell]
Dy 0.345 0.679 0.867 [2 per cell]
Dy 0.500 0.500 0.500 [1 per cell]
Ho 0.271 0.046 0.603 [2 per cell]

Output
The total magnetic moment is 0.00 μB/f.u. As for the crystal system: triclinic.

---

## b
## Pr6Dy3Ho2 (PBE)

Data for a geometry-optimized Pr6Dy3Ho2 structure.

abc: 4.773 4.773 34.285
angles: 90.00 90.00 90.00
Space group I4/mmm (No. 139)
Inequivalent atoms, fractional coordinates:
Pr 0.000 0.000 0.207 [4 per cell]
Pr 0.000 0.500 0.119 [8 per cell]
Dy 0.000 0.000 0.307 [4 per cell]
Dy 0.000 0.000 0.500 [2 per cell]
Ho 0.000 0.000 0.045 [4 per cell]

Output
The total magnetic moment is 0.00 μB/f.u. As for the crystal system: tetragonal.

---

Most stable = a